Record 1
A relaxed SrHfInNi2 crystal. Source: Alexandria, functional PBE.

Calculated total energy: -4.32 eV/atom
Size of the total moment: 1.40 μB per formula unit
Crystal system: tetragonal
Energy of formation: 0.86 eV/atom

Unit cell a=4.8983 b=4.8983 c=5.3129 alpha=90.00 beta=90.00 gamma=90.00
Space group P4/mmm (No. 123)
One atom of each set of equivalent atoms:
Sr1 0.0000 0.0000 0.0000 (multiplicity 1)
Hf1 0.5000 0.5000 0.0000 (multiplicity 1)
In1 0.5000 0.5000 0.5000 (multiplicity 1)
Ni1 0.0000 0.5000 0.5000 (multiplicity 2)



Record 2
A relaxed Tl2WCl5 crystal. Source: Alexandria, functional PBE.

Calculated total energy: -4.10 eV/atom
Size of the total moment: 3.00 μB per formula unit
Crystal system: monoclinic
E_form (uncorrected): -732 meV/atom

Unit cell a=11.4436 b=7.4514 c=7.5770 alpha=90.00 beta=125.71 gamma=90.00
Space group Cm (No. 8)
One atom of each set of equivalent atoms:
Tl1 0.0000 0.0000 0.0000 (multiplicity 2)
Tl2 0.0025 0.5000 0.5147 (multiplicity 2)
W1 0.2479 0.5000 0.2445 (multiplicity 2)
Cl1 0.1912 0.2695 0.4120 (multiplicity 4)
Cl2 0.2298 0.2763 0.0012 (multiplicity 4)
Cl3 0.4862 0.5000 0.5472 (multiplicity 2)



Record 3
A relaxed Cs2Na2Se crystal. Source: Alexandria, functional PBE.

Calculated total energy: -1.96 eV/atom
E above lowest polymorph: 0 meV/atom
Size of the total moment: 0.00 μB per formula unit
Crystal system: tetragonal
E_form (uncorrected): -398 meV/atom

Unit cell a=8.3037 b=8.3037 c=6.1886 alpha=90.00 beta=90.00 gamma=90.00
Space group P4/mbm (No. 127)
One atom of each set of equivalent atoms:
Cs1 0.2043 0.2957 0.0000 (multiplicity 4)
Na1 0.1461 0.6461 0.5000 (multiplicity 4)
Se1 0.0000 0.0000 0.5000 (multiplicity 2)



Record 4
A relaxed Li2Hg2Ge crystal. Source: Alexandria, functional PBE.

Calculated total energy: -1.99 eV/atom
E above lowest polymorph: 0 meV/atom
Size of the total moment: 0.00 μB per formula unit
Crystal system: tetragonal
Energy of formation: -0.18 eV/atom

Unit cell a=7.8146 b=7.8146 c=3.1609 alpha=90.00 beta=90.00 gamma=90.00
Space group P4/mbm (No. 127)
One atom of each set of equivalent atoms:
Li1 0.1600 0.3400 0.0000 (multiplicity 4)
Hg1 0.1392 0.6392 0.5000 (multiplicity 4)
Ge1 0.0000 0.0000 0.5000 (multiplicity 2)



Record 5
A relaxed LaNbPt3 crystal. Source: Alexandria, functional PBE.

Calculated total energy: -5.34 eV/atom
E above lowest polymorph: 1523 meV/atom
Size of the total moment: 0.00 μB per formula unit
Crystal system: cubic
Energy of formation: 1.28 eV/atom

Unit cell a=5.0928 b=5.0928 c=5.0928 alpha=90.00 beta=90.00 gamma=90.00
Space group Pm-3m (No. 221)
One atom of each set of equivalent atoms:
La1 0.0000 0.0000 0.0000 (multiplicity 1)
Nb1 0.5000 0.5000 0.5000 (multiplicity 1)
Pt1 0.0000 0.0000 0.5000 (multiplicity 3)



Record 6
A relaxed CrPtSe crystal. Source: Alexandria, functional PBE.

Calculated total energy: -6.40 eV/atom
E above lowest polymorph: 0 meV/atom
Size of the total moment: 0.00 μB per formula unit
Crystal system: orthorhombic
E_form (uncorrected): -15 meV/atom

Unit cell a=12.2605 b=3.0115 c=5.2247 alpha=90.00 beta=90.00 gamma=90.00
Space group Amm2 (No. 38)
One atom of each set of equivalent atoms:
Cr1 0.0000 0.0000 0.0000 (multiplicity 2)
Cr2 0.5000 0.0000 0.0395 (multiplicity 2)
Pt1 0.3495 0.0000 0.7047 (multiplicity 4)
Se1 0.1343 0.0000 0.3326 (multiplicity 4)



Record 7
A relaxed InRuN2O crystal. Source: Alexandria, functional PBE.

Calculated total energy: -6.31 eV/atom
Size of the total moment: 0.39 μB per formula unit
Crystal system: tetragonal
E_form (uncorrected): 417 meV/atom

Unit cell a=3.8426 b=3.8426 c=4.3160 alpha=90.00 beta=90.00 gamma=90.00
Space group P4/mmm (No. 123)
One atom of each set of equivalent atoms:
In1 0.0000 0.0000 0.0000 (multiplicity 1)
Ru1 0.5000 0.5000 0.5000 (multiplicity 1)
N1 0.0000 0.5000 0.5000 (multiplicity 2)
O1 0.5000 0.5000 0.0000 (multiplicity 1)



Record 8
A relaxed La12CoPb6 crystal. Source: Alexandria, functional PBE.

Calculated total energy: -5.04 eV/atom
Size of the total moment: 0.00 μB per formula unit
Crystal system: trigonal
Energy of formation: -0.38 eV/atom

Unit cell a=12.7060 b=12.7060 c=14.5739 alpha=90.00 beta=90.00 gamma=120.00
Space group R-3 (No. 148, hexagonal axes)
One atom of each set of equivalent atoms:
La1 0.0322 0.1930 0.3862 (multiplicity 18)
La2 0.0374 0.8475 0.8863 (multiplicity 18)
Co1 0.0000 0.0000 0.0000 (multiplicity 3)
Pb1 0.0058 0.3945 0.2521 (multiplicity 18)



Record 9
A relaxed AcCeB2O6 crystal. Source: Alexandria, functional PBE.

Calculated total energy: -8.34 eV/atom
Size of the total moment: 1.00 μB per formula unit
Crystal system: monoclinic
E_form (uncorrected): -3030 meV/atom

Unit cell a=8.5883 b=9.9755 c=6.7504 alpha=90.00 beta=109.92 gamma=90.00
Space group C2/c (No. 15)
One atom of each set of equivalent atoms:
Ac1 0.0000 0.1527 0.2500 (multiplicity 4)
Ce1 0.0000 0.4022 0.7500 (multiplicity 4)
B1 0.2419 0.1147 0.7186 (multiplicity 8)
O1 0.1028 0.3820 0.1251 (multiplicity 8)
O2 0.1574 0.2330 0.6506 (multiplicity 8)
O3 0.1855 0.0048 0.1154 (multiplicity 8)



Record 10
A relaxed CuSe5 crystal. Source: Alexandria, functional PBE.

Calculated total energy: -3.45 eV/atom
E above lowest polymorph: 74 meV/atom
Size of the total moment: 0.00 μB per formula unit
Crystal system: orthorhombic
E_form (uncorrected): 135 meV/atom

Unit cell a=4.6433 b=3.6314 c=19.6398 alpha=90.00 beta=90.00 gamma=90.00
Space group Amm2 (No. 38)
One atom of each set of equivalent atoms:
Cu1 0.0000 0.0000 0.0000 (multiplicity 2)
Se1 0.0000 0.0000 0.4221 (multiplicity 2)
Se2 0.0000 0.0000 0.5800 (multiplicity 2)
Se3 0.5000 0.0000 0.2499 (multiplicity 2)
Se4 0.5000 0.0000 0.6355 (multiplicity 2)
Se5 0.5000 0.0000 0.8364 (multiplicity 2)



Record 11
A relaxed BaMg2InAg4 crystal. Source: Alexandria, functional PBE.

Calculated total energy: -2.56 eV/atom
Size of the total moment: 0.00 μB per formula unit
Crystal system: trigonal
Energy of formation: -0.15 eV/atom

Unit cell a=4.7651 b=4.7651 c=29.8916 alpha=90.00 beta=90.00 gamma=120.00
Space group R-3m (No. 166, hexagonal axes)
One atom of each set of equivalent atoms:
Ba1 0.0000 0.0000 0.0000 (multiplicity 3)
Mg1 0.0000 0.0000 0.2322 (multiplicity 6)
In1 0.0000 0.0000 0.5000 (multiplicity 3)
Ag1 0.0000 0.0000 0.1270 (multiplicity 6)
Ag2 0.0000 0.0000 0.4063 (multiplicity 6)



Record 12
A relaxed Li2CeCd10 crystal. Source: Alexandria, functional PBE.

Calculated total energy: -1.62 eV/atom
Size of the total moment: 1.14 μB per formula unit
Crystal system: orthorhombic
Energy of formation: -0.16 eV/atom

Unit cell a=5.5443 b=14.2379 c=14.2892 alpha=90.00 beta=90.00 gamma=90.00
Space group Fmmm (No. 69)
One atom of each set of equivalent atoms:
Li1 0.2500 0.0000 0.2500 (multiplicity 8)
Ce1 0.0000 0.0000 0.0000 (multiplicity 4)
Cd1 0.0000 0.1024 0.3878 (multiplicity 16)
Cd2 0.0000 0.1671 0.1804 (multiplicity 16)
Cd3 0.2500 0.2500 0.0000 (multiplicity 8)